No. 1
CoW2Cl: relaxed, PBE.

It has space group R3m (No. 160, hexagonal axes), with a = 2.8693 Å, b = 2.8693 Å, c = 25.4886 Å, α = 90.00°, β = 90.00° and γ = 120.00°. The asymmetric unit holds Co at (0.0000, 0.0000, 0.0000), W at (0.0000, 0.0000, 0.2584), W at (0.0000, 0.0000, 0.4974) and Cl at (0.0000, 0.0000, 0.7542).

As for the density of states at the Fermi level: 3.637 states/eV/f.u. As for the total magnetization: 3.2 μB/cell. The value obtained for the energy above the most stable polymorph in this dataset is 32.2 meV per atom. Its energy relative to the elements, uncorrected is 0.407 eV/atom. The calculation puts the volume at 15.1 Å³ per atom. The density is 12.67 g cm⁻³.

No. 2
Li12CaCd6: relaxed, PBE.

It has space group R-3m (No. 166, hexagonal axes), with a = 11.9095 Å, b = 11.9095 Å, c = 9.9495 Å, α = 90.00°, β = 90.00° and γ = 120.00°. The asymmetric unit holds Li at (0.0000, 0.3923, 0.0000), Li at (0.0920, 0.1839, 0.8136), Ca at (0.0000, 0.0000, 0.5000) and Cd at (0.0425, 0.5213, 0.7484).

As for the density of states at the Fermi level: 8.727 states/eV/f.u. For the formation energy, the calculation gives -91 meV per atom. As for the total magnetization: 0.0 μB/cell. The value obtained for the energy above the most stable polymorph in this dataset is 11.1 meV per atom. The calculation puts the volume at 21.4 Å³ per atom. The density is 3.25 g cm⁻³.

No. 3
NiAuS2: relaxed, PBE.

It has space group Pnma (No. 62), with a = 6.833 Å, b = 3.331 Å, c = 13.532 Å, α = 90.00°, β = 90.00° and γ = 90.00°. The asymmetric unit holds Ni at (0.037, 0.250, 0.103), Au at (0.042, 0.750, 0.349), S at (0.162, 0.250, 0.938) and S at (0.200, 0.750, 0.172).

As for the density of states at the Fermi level: 1.812 states/eV/f.u. As for the total magnetization: 0.0 μB/cell. Its energy relative to the elements, uncorrected is -0.137 eV/atom. The calculation puts the volume at 19.3 Å³ per atom. The density is 6.90 g cm⁻³.

No. 4
YInBr2: relaxed, PBE.

It has space group P4mm (No. 99), with a = 3.932 Å, b = 3.932 Å, c = 7.348 Å, α = 90.00°, β = 90.00° and γ = 90.00°. The asymmetric unit holds Y at (0.000, 0.000, 0.000), In at (0.500, 0.500, 0.699), Br at (0.000, 0.000, 0.397) and Br at (0.500, 0.500, 0.126).

As for the density of states at the Fermi level: 2.377 states/eV/f.u. As for the total magnetization: 0.0 μB/cell. The value obtained for the energy above the most stable polymorph in this dataset is 144.4 meV per atom. Its energy relative to the elements, uncorrected is -0.895 eV/atom. The calculation puts the volume at 28.4 Å³ per atom. The density is 5.32 g cm⁻³.

No. 5
Hf2BiSe2: relaxed, PBE.

It has space group P4/mbm (No. 127), with a = 7.988 Å, b = 7.988 Å, c = 3.389 Å, α = 90.00°, β = 90.00° and γ = 90.00°. The asymmetric unit holds Hf at (0.142, 0.358, 0.000), Bi at (0.000, 0.000, 0.000) and Se at (0.136, 0.636, 0.500).

As for the density of states at the Fermi level: 2.594 states/eV/f.u. As for the total magnetization: 0.0 μB/cell. Its energy relative to the elements, uncorrected is -0.704 eV/atom. The calculation puts the volume at 21.6 Å³ per atom. The density is 11.12 g cm⁻³.

No. 6
UAlH: relaxed, PBE.

It has space group I4mm (No. 107), with a = 2.846 Å, b = 2.846 Å, c = 11.126 Å, α = 90.00°, β = 90.00° and γ = 90.00°. The asymmetric unit holds U at (0.000, 0.000, 0.000), Al at (0.000, 0.000, 0.284) and H at (0.000, 0.000, 0.598).

As for the density of states at the Fermi level: 3.656 states/eV/f.u. As for the total magnetization: 4.2 μB/cell. The value obtained for the energy above the most stable polymorph in this dataset is 185.6 meV per atom. The calculation puts the volume at 15.0 Å³ per atom. The density is 9.80 g cm⁻³.

No. 7
Eu3Hg: relaxed, PBE.

It has space group Immm (No. 71), with a = 4.021 Å, b = 5.824 Å, c = 12.117 Å, α = 90.00°, β = 90.00° and γ = 90.00°. The asymmetric unit holds Eu at (0.000, 0.000, 0.000), Eu at (0.000, 0.500, 0.212) and Hg at (0.000, 0.000, 0.500).

As for the density of states at the Fermi level: 7.095 states/eV/f.u. For the formation energy, the calculation gives -258 meV per atom. As for the total magnetization: 45.3 μB/cell. The value obtained for the energy above the most stable polymorph in this dataset is 0.0 meV per atom. The calculation puts the volume at 35.5 Å³ per atom. The density is 7.68 g cm⁻³.

No. 8
HfZr2V: relaxed, PBE.

It has space group I-42d (No. 122), with a = 7.604 Å, b = 7.604 Å, c = 5.883 Å, α = 90.00°, β = 90.00° and γ = 90.00°. The asymmetric unit holds Hf at (0.000, 0.000, 0.000), Zr at (0.221, 0.250, 0.625) and V at (0.000, 0.000, 0.500).

As for the density of states at the Fermi level: 5.528 states/eV/f.u. For the formation energy, the calculation gives 552 meV per atom. As for the total magnetization: 4.0 μB/cell. The value obtained for the energy above the most stable polymorph in this dataset is 416.5 meV per atom. The calculation puts the volume at 21.3 Å³ per atom. The density is 8.04 g cm⁻³.

No. 9
TaCdTe2As: relaxed, PBE.

It has space group P4/mmm (No. 123), with a = 5.498 Å, b = 5.498 Å, c = 4.900 Å, α = 90.00°, β = 90.00° and γ = 90.00°. The asymmetric unit holds Ta at (0.000, 0.000, 0.000), Cd at (0.500, 0.500, 0.000), Te at (0.000, 0.500, 0.500) and As at (0.500, 0.500, 0.500).

As for the density of states at the Fermi level: 4.118 states/eV/f.u. As for the total magnetization: 2.9 μB/cell. Its energy relative to the elements, uncorrected is 1.101 eV/atom. The calculation puts the volume at 29.6 Å³ per atom. The density is 6.99 g cm⁻³.

No. 10
Ac3Mn2N7: relaxed, PBE.

It has space group Cmmm (No. 65), with a = 4.020 Å, b = 21.985 Å, c = 3.701 Å, α = 90.00°, β = 90.00° and γ = 90.00°. The asymmetric unit holds Ac at (0.000, 0.000, 0.000), Ac at (0.000, 0.176, 0.000), Mn at (0.000, 0.402, 0.500), N at (0.000, 0.094, 0.500), N at (0.000, 0.314, 0.500), N at (0.000, 0.406, 0.000) and N at (0.000, 0.500, 0.500).

As for the density of states at the Fermi level: 6.630 states/eV/f.u. As for the total magnetization: 4.2 μB/cell. Its energy relative to the elements, uncorrected is -0.439 eV/atom. The calculation puts the volume at 13.6 Å³ per atom. The density is 9.03 g cm⁻³.

No. 11
ZrTa3I: relaxed, PBE.

It has space group Pm-3m (No. 221), with a = 5.038 Å, b = 5.038 Å, c = 5.038 Å, α = 90.00°, β = 90.00° and γ = 90.00°. The asymmetric unit holds Zr at (0.000, 0.000, 0.000), Ta at (0.000, 0.000, 0.500) and I at (0.500, 0.500, 0.500).

As for the density of states at the Fermi level: 5.031 states/eV/f.u. As for the total magnetization: 0.0 μB/cell. The value obtained for the energy above the most stable polymorph in this dataset is 238.9 meV per atom. Its energy relative to the elements, uncorrected is 2.006 eV/atom. The calculation puts the volume at 25.6 Å³ per atom. The density is 9.88 g cm⁻³.

No. 12
ThGa3CoRh: relaxed, PBE.

It has space group Cmcm (No. 63), with a = 7.613 Å, b = 10.145 Å, c = 6.037 Å, α = 90.00°, β = 90.00° and γ = 90.00°. The asymmetric unit holds Th at (0.000, 0.247, 0.250), Ga at (0.000, 0.237, 0.750), Ga at (0.241, 0.000, 0.000), Co at (0.000, 0.009, 0.750) and Rh at (0.000, 0.477, 0.750).

As for the density of states at the Fermi level: 3.403 states/eV/f.u. For the formation energy, the calculation gives -358 meV per atom. As for the total magnetization: 0.0 μB/cell. The calculation puts the volume at 19.4 Å³ per atom. The density is 8.59 g cm⁻³.

No. 13
Sr2AgPb: relaxed, PBE.

It has space group P-1 (No. 2), with a = 3.998 Å, b = 5.459 Å, c = 12.443 Å, α = 90.04°, β = 99.22° and γ = 90.00°. The asymmetric unit holds Sr at (0.053, 0.249, 0.107), Sr at (0.190, 0.750, 0.382), Ag at (0.425, 0.251, 0.850) and Pb at (0.335, 0.750, 0.668).

As for the density of states at the Fermi level: 2.360 states/eV/f.u. For the formation energy, the calculation gives -398 meV per atom. As for the total magnetization: 0.0 μB/cell. The calculation puts the volume at 33.5 Å³ per atom. The density is 6.07 g cm⁻³.

No. 14
BeCd2Cl: relaxed, PBE.

It has space group I-42d (No. 122), with a = 6.631 Å, b = 6.631 Å, c = 9.523 Å, α = 90.00°, β = 90.00° and γ = 90.00°. The asymmetric unit holds Be at (0.000, 0.000, 0.000), Cd at (0.204, 0.250, 0.125) and Cl at (0.000, 0.000, 0.500).

As for the density of states at the Fermi level: 1.407 states/eV/f.u. As for the total magnetization: 0.0 μB/cell. The value obtained for the energy above the most stable polymorph in this dataset is 334.0 meV per atom. Its energy relative to the elements, uncorrected is 0.149 eV/atom. The calculation puts the volume at 26.2 Å³ per atom. The density is 4.27 g cm⁻³.

No. 15
Ba2TaPb: relaxed, PBE.

It has space group Cm (No. 8), with a = 13.253 Å, b = 3.432 Å, c = 6.273 Å, α = 90.00°, β = 106.71° and γ = 90.00°. The asymmetric unit holds Ba at (0.000, 0.000, 0.000), Ba at (0.190, 0.000, 0.621), Ta at (0.426, 0.000, 0.454) and Pb at (0.260, 0.500, 0.159).

As for the density of states at the Fermi level: 5.227 states/eV/f.u. For the formation energy, the calculation gives 495 meV per atom. As for the total magnetization: 0.0 μB/cell. The calculation puts the volume at 34.2 Å³ per atom. The density is 8.06 g cm⁻³.

No. 16
Cu2AgAs4: relaxed, PBE.

It has space group I4/mmm (No. 139), with a = 4.872 Å, b = 4.872 Å, c = 13.183 Å, α = 90.00°, β = 90.00° and γ = 90.00°. The asymmetric unit holds Cu at (0.000, 0.000, 0.091), Ag at (0.000, 0.000, 0.500), As at (0.000, 0.000, 0.265) and As at (0.000, 0.500, 0.000).

As for the density of states at the Fermi level: 5.465 states/eV/f.u. For the formation energy, the calculation gives 705 meV per atom. As for the total magnetization: 0.0 μB/cell. The calculation puts the volume at 22.4 Å³ per atom. The density is 5.67 g cm⁻³.

No. 17
BMo2H: relaxed, PBE.

It has space group R-3m (No. 166, hexagonal axes), with a = 3.1324 Å, b = 3.1324 Å, c = 17.4605 Å, α = 90.00°, β = 90.00° and γ = 120.00°. The asymmetric unit holds B at (0.0000, 0.0000, 0.0000), Mo at (0.0000, 0.0000, 0.3992) and H at (0.0000, 0.0000, 0.5000).

As for the density of states at the Fermi level: 2.638 states/eV/f.u. As for the total magnetization: 0.0 μB/cell. The value obtained for the energy above the most stable polymorph in this dataset is 289.0 meV per atom. The calculation puts the volume at 12.4 Å³ per atom. The density is 6.84 g cm⁻³.

No. 18
SrAc2Ge2: relaxed, PBE.

It has space group P2_1/m (No. 11), with a = 6.623 Å, b = 5.532 Å, c = 9.573 Å, α = 90.00°, β = 90.03° and γ = 90.00°. The asymmetric unit holds Sr at (0.001, 0.250, 0.250), Ac at (0.289, 0.250, 0.916), Ac at (0.289, 0.750, 0.417), Ge at (0.215, 0.250, 0.583) and Ge at (0.215, 0.750, 0.083).

As for the density of states at the Fermi level: 0.646 states/eV/f.u. For the formation energy, the calculation gives -577 meV per atom. As for the total magnetization: 0.0 μB/cell. The value obtained for the energy above the most stable polymorph in this dataset is 69.7 meV per atom. The calculation puts the volume at 35.1 Å³ per atom. The density is 6.50 g cm⁻³.

No. 19
KBeNi2: relaxed, PBE.

It has space group I-4m2 (No. 119), with a = 3.910 Å, b = 3.910 Å, c = 7.929 Å, α = 90.00°, β = 90.00° and γ = 90.00°. The asymmetric unit holds K at (0.000, 0.000, 0.000), Be at (0.000, 0.500, 0.250), Ni at (0.000, 0.000, 0.500) and Ni at (0.000, 0.500, 0.750).

As for the density of states at the Fermi level: 5.082 states/eV/f.u. For the formation energy, the calculation gives 1074 meV per atom. As for the total magnetization: 0.7 μB/cell. The calculation puts the volume at 15.1 Å³ per atom. The density is 4.53 g cm⁻³.

No. 20
ZrAg2Pb: relaxed, PBE.

It has space group I-42d (No. 122), with a = 7.916 Å, b = 7.916 Å, c = 5.953 Å, α = 90.00°, β = 90.00° and γ = 90.00°. The asymmetric unit holds Zr at (0.000, 0.000, 0.000), Ag at (0.248, 0.250, 0.125) and Pb at (0.000, 0.000, 0.500).

As for the density of states at the Fermi level: 2.338 states/eV/f.u. For the formation energy, the calculation gives 265 meV per atom. As for the total magnetization: 0.0 μB/cell. The calculation puts the volume at 23.3 Å³ per atom. The density is 9.16 g cm⁻³.

No. 21
Tb2PrTm9: relaxed, PBE.

It has space group P4/mmm (No. 123), with a = 4.977 Å, b = 4.977 Å, c = 14.920 Å, α = 90.00°, β = 90.00° and γ = 90.00°. The asymmetric unit holds Tb at (0.000, 0.000, 0.166), Pr at (0.000, 0.000, 0.500), Tm at (0.000, 0.500, 0.000), Tm at (0.000, 0.500, 0.331), Tm at (0.500, 0.500, 0.165) and Tm at (0.500, 0.500, 0.500).

As for the density of states at the Fermi level: 16.840 states/eV/f.u. For the formation energy, the calculation gives 28 meV per atom. As for the total magnetization: 0.0 μB/cell. The value obtained for the energy above the most stable polymorph in this dataset is 0.0 meV per atom. The calculation puts the volume at 30.8 Å³ per atom. The density is 8.89 g cm⁻³.

No. 22
Ac4SmAu5: relaxed, PBE.

It has space group P4/mmm (No. 123), with a = 3.850 Å, b = 3.850 Å, c = 19.453 Å, α = 90.00°, β = 90.00° and γ = 90.00°. The asymmetric unit holds Ac at (0.000, 0.000, 0.102), Ac at (0.000, 0.000, 0.306), Sm at (0.000, 0.000, 0.500), Au at (0.500, 0.500, 0.000), Au at (0.500, 0.500, 0.205) and Au at (0.500, 0.500, 0.415).

As for the density of states at the Fermi level: 6.047 states/eV/f.u. For the formation energy, the calculation gives -771 meV per atom. As for the total magnetization: 0.0 μB/cell. The calculation puts the volume at 28.8 Å³ per atom. The density is 11.76 g cm⁻³.

No. 23
As2Se: relaxed, PBE.

It has space group P-3m1 (No. 164), with a = 3.8873 Å, b = 3.8873 Å, c = 4.8850 Å, α = 90.00°, β = 90.00° and γ = 120.00°. The asymmetric unit holds As at (0.3333, 0.6667, 0.1462) and Se at (0.0000, 0.0000, 0.5000).

As for the density of states at the Fermi level: 1.554 states/eV/f.u. As for the total magnetization: 0.0 μB/cell. The value obtained for the energy above the most stable polymorph in this dataset is 49.9 meV per atom. Its energy relative to the elements, uncorrected is 0.088 eV/atom. The calculation puts the volume at 21.3 Å³ per atom. The density is 5.94 g cm⁻³.

No. 24
Al2Mo: relaxed, PBE.

It has space group Imma (No. 74), with a = 2.700 Å, b = 4.134 Å, c = 18.352 Å, α = 90.00°, β = 90.00° and γ = 90.00°. The asymmetric unit holds Al at (0.000, 0.250, 0.039), Al at (0.000, 0.250, 0.183) and Mo at (0.000, 0.250, 0.604).

As for the density of states at the Fermi level: 1.813 states/eV/f.u. For the formation energy, the calculation gives 41 meV per atom. As for the total magnetization: 0.0 μB/cell. The calculation puts the volume at 17.1 Å³ per atom. The density is 4.86 g cm⁻³.